No. 1
Entry from Alexandria via LeMat-Bulk: TaFeTc2Ni after structural relaxation (PBE-GGA).

Calculated values
DOS(E_F) ... 2.29 states/eV per atom

```
data_TaFeTc2Ni
_symmetry_space_group_name_H-M 'P 4/m m m'
_symmetry_Int_Tables_number 123
_symmetry_space_group_name_Hall '-P 4 2'
_cell_length_a 4.3664
_cell_length_b 4.3664
_cell_length_c 4.4870
_cell_angle_alpha 90.00
_cell_angle_beta 90.00
_cell_angle_gamma 90.00
loop_
_atom_site_label
_atom_site_fract_x
_atom_site_fract_y
_atom_site_fract_z
_atom_site_occupancy
Ta1 0.0000 0.0000 0.0000 1
Fe1 0.5000 0.5000 0.0000 1
Tc1 0.0000 0.5000 0.5000 1
Ni1 0.0000 0.0000 0.5000 1
```

=====

No. 2
Entry from Alexandria via LeMat-Bulk: TbPmSmMg after structural relaxation (PBE-GGA).

Calculated values
DOS(E_F) ... 1.09 states/eV per atom

```
data_TbPmSmMg
_symmetry_space_group_name_H-M 'P 4 m m'
_symmetry_Int_Tables_number 99
_symmetry_space_group_name_Hall 'P 4 -2'
_cell_length_a 3.6685
_cell_length_b 3.6685
_cell_length_c 9.1886
_cell_angle_alpha 90.00
_cell_angle_beta 90.00
_cell_angle_gamma 90.00
loop_
_atom_site_label
_atom_site_fract_x
_atom_site_fract_y
_atom_site_fract_z
_atom_site_occupancy
Tb1 0.0000 0.0000 0.0000 1
Pm1 0.5000 0.5000 0.2684 1
Sm1 0.0000 0.0000 0.5422 1
Mg1 0.5000 0.5000 0.7751 1
```

=====

No. 3
Entry from Alexandria via LeMat-Bulk: Cs3CaHg2Br9 after structural relaxation (PBE-GGA).

Calculated values
Formation energy without anion corrections ... -1878 kJ/mol of formula units

```
data_Cs3CaHg2Br9
_symmetry_space_group_name_H-M 'P -3 m 1'
_symmetry_Int_Tables_number 164
_symmetry_space_group_name_Hall '-P 3 2"'
_cell_length_a 8.0673
_cell_length_b 8.0673
_cell_length_c 9.8898
_cell_angle_alpha 90.00
_cell_angle_beta 90.00
_cell_angle_gamma 120.00
loop_
_atom_site_label
_atom_site_fract_x
_atom_site_fract_y
_atom_site_fract_z
_atom_site_occupancy
Cs1 0.0000 0.0000 0.0000 1
Cs2 0.3333 0.6667 0.6681 1
Ca1 0.0000 0.0000 0.5000 1
Hg1 0.3333 0.6667 0.1641 1
Br1 0.0000 0.5000 0.0000 1
Br2 0.1682 0.3364 0.3315 1
```

=====

No. 4
Entry from Alexandria via LeMat-Bulk: AgPt2Br after structural relaxation (PBE-GGA).

Calculated values
Formation energy without anion corrections ... 188 kJ/mol of formula units
DOS(E_F) ... 0.86 states/eV per atom

```
data_AgPt2Br
_symmetry_space_group_name_H-M 'P 4/m m m'
_symmetry_Int_Tables_number 123
_symmetry_space_group_name_Hall '-P 4 2'
_cell_length_a 2.9191
_cell_length_b 2.9191
_cell_length_c 8.3077
_cell_angle_alpha 90.00
_cell_angle_beta 90.00
_cell_angle_gamma 90.00
loop_
_atom_site_label
_atom_site_fract_x
_atom_site_fract_y
_atom_site_fract_z
_atom_site_occupancy
Ag1 0.0000 0.0000 0.0000 1
Pt1 0.5000 0.5000 0.2420 1
Br1 0.0000 0.0000 0.5000 1
```

=====

No. 5
Entry from Alexandria via LeMat-Bulk: ThNbAlGa2 after structural relaxation (PBE-GGA).

Calculated values
DOS(E_F) ... 0.67 states/eV per atom

```
data_ThNbAlGa2
_symmetry_space_group_name_H-M 'I -4 m 2'
_symmetry_Int_Tables_number 119
_symmetry_space_group_name_Hall 'I -4 -2'
_cell_length_a 4.0863
_cell_length_b 4.0863
_cell_length_c 12.1390
_cell_angle_alpha 90.00
_cell_angle_beta 90.00
_cell_angle_gamma 90.00
loop_
_atom_site_label
_atom_site_fract_x
_atom_site_fract_y
_atom_site_fract_z
_atom_site_occupancy
Th1 0.0000 0.0000 0.0000 1
Nb1 0.0000 0.5000 0.7500 1
Al1 0.0000 0.5000 0.2500 1
Ga1 0.0000 0.0000 0.3935 1
```

=====

No. 6
Entry from Alexandria via LeMat-Bulk: Mg12SnPb6 after structural relaxation (PBE-GGA).

Calculated values
DOS(E_F) ... 0.44 states/eV per atom

```
data_Mg12SnPb6
_symmetry_space_group_name_H-M 'R -3'
_symmetry_Int_Tables_number 148
_symmetry_space_group_name_Hall '-R 3'
_cell_length_a 13.6095
_cell_length_b 13.6095
_cell_length_c 9.4874
_cell_angle_alpha 90.00
_cell_angle_beta 90.00
_cell_angle_gamma 120.00
loop_
_atom_site_label
_atom_site_fract_x
_atom_site_fract_y
_atom_site_fract_z
_atom_site_occupancy
Mg1 0.0498 0.8350 0.2631 1
Mg2 0.0604 0.8412 0.9193 1
Sn1 0.0000 0.0000 0.5000 1
Pb1 0.0558 0.7976 0.5924 1
```

=====

No. 7
Entry from Alexandria via LeMat-Bulk: Mg3AlPb after structural relaxation (PBE-GGA).

Calculated values
DOS(E_F) ... 0.61 states/eV per atom

```
data_Mg3AlPb
_symmetry_space_group_name_H-M 'P m -3 m'
_symmetry_Int_Tables_number 221
_symmetry_space_group_name_Hall '-P 4 2 3'
_cell_length_a 5.1897
_cell_length_b 5.1897
_cell_length_c 5.1897
_cell_angle_alpha 90.00
_cell_angle_beta 90.00
_cell_angle_gamma 90.00
loop_
_atom_site_label
_atom_site_fract_x
_atom_site_fract_y
_atom_site_fract_z
_atom_site_occupancy
Mg1 0.0000 0.0000 0.5000 1
Al1 0.0000 0.0000 0.0000 1
Pb1 0.5000 0.5000 0.5000 1
```

=====

No. 8
Entry from Alexandria via LeMat-Bulk: Ta8Ti2Os after structural relaxation (PBE-GGA).

Calculated values
DOS(E_F) ... 1.40 states/eV per atom

```
data_Ta8Ti2Os
_symmetry_space_group_name_H-M 'C 1 2/m 1'
_symmetry_Int_Tables_number 12
_symmetry_space_group_name_Hall '-C 2y'
_cell_length_a 15.3923
_cell_length_b 4.6123
_cell_length_c 5.4288
_cell_angle_alpha 90.00
_cell_angle_beta 90.04
_cell_angle_gamma 90.00
loop_
_atom_site_label
_atom_site_fract_x
_atom_site_fract_y
_atom_site_fract_z
_atom_site_occupancy
Ta1 0.0442 0.0000 0.2336 1
Ta2 0.0891 0.5000 0.9431 1
Ta3 0.1773 0.5000 0.4089 1
Ta4 0.2280 0.0000 0.1415 1
Ti1 0.1391 0.0000 0.6862 1
Os1 0.0000 0.5000 0.5000 1
```

=====

It is found that the total moment values, taken in the order of the records, are 0.052 0.000 0.000 0.000 0.000 0.000 0.000 0.000 μB/atom.
It is found that the total energy values, taken in the order of the records, are -39.11 -15.83 -39.69 -14.66 -29.25 -44.55 -10.57 -122.90 eV/f.u..